Entry from Alexandria via LeMat-Bulk: NaIn2SnBr5 after structural relaxation (PBE-GGA).

The density of states at the Fermi level is 0.000 states/eV/f.u. Its energy relative to the elements, uncorrected is -0.8782 eV/atom.

Cell: 4.431 18.907 15.054 Å, 90.00 90.00 90.00°
Space group Cmc2_1 (No. 36)
Asymmetric unit:
Na 0.000 0.042 0.000
In 0.000 0.371 0.854
In 0.000 0.415 0.208
Sn 0.000 0.277 0.586
Br 0.000 0.004 0.321
Br 0.000 0.117 0.543
Br 0.000 0.198 0.955
Br 0.000 0.231 0.227
Br 0.000 0.430 0.614